! ZnAgPt2 | Alexandria | meta-GGA SCAN | single point on PBEsol structure; values from VASP
! E ... -46.56 eV per atom
! Formation energy from the elements ... -0.24 eV/atom
! Crystal system ... tetragonal
! Density of states at the Fermi level ... 0.4029 states/eV/atom
&SYSTEM
  ibrav = 0, nat = 4, ntyp = 3
/
ATOMIC_SPECIES
Zn 65.41 Zn.upf
Ag 107.87 Ag.upf
Pt 195.08 Pt.upf
ATOMIC_POSITIONS crystal
Zn 0.0000 0.0000 0.0000
Ag 0.5000 0.5000 0.0000
Pt 0.0000 0.5000 0.5000
Pt 0.5000 0.0000 0.5000
CELL_PARAMETERS angstrom
3.9428 0.0000 0.0000
0.0000 3.9428 0.0000
0.0000 0.0000 3.8251